Arrangement 1

Below is a relaxed structure of KTl2Ge2, with properties calculated at the PBE-GGA level.

Cell lengths 6.997, 6.997, 6.997 Å; angles 138.64, 138.64, 59.92 degrees
Fractional coordinates of all 5 atoms:
K 0.000 0.000 0.000
Tl 0.376 0.376 0.000
Tl 0.624 0.624 0.000
Ge 0.250 0.750 0.500
Ge 0.750 0.250 0.500


Arrangement 2

Below is a relaxed structure of KTl2Ge2, with properties calculated at the PBE-GGA level.

Cell lengths 8.658, 8.658, 3.824 Å; angles 90.00, 90.00, 90.00 degrees
Fractional coordinates of all 10 atoms:
K 0.000 0.000 0.000
K 0.500 0.500 0.000
Tl 0.170 0.330 0.500
Tl 0.330 0.830 0.500
Tl 0.670 0.170 0.500
Tl 0.830 0.670 0.500
Ge 0.110 0.610 0.000
Ge 0.390 0.110 0.000
Ge 0.610 0.890 0.000
Ge 0.890 0.390 0.000


Arrangement 3

Below is a relaxed structure of KTl2Ge2, with properties calculated at the PBE-GGA level.

Cell lengths 6.524, 6.524, 6.524 Å; angles 132.70, 132.70, 69.13 degrees
Fractional coordinates of all 5 atoms:
K 0.000 0.000 0.000
Tl 0.250 0.750 0.500
Tl 0.750 0.250 0.500
Ge 0.383 0.383 0.000
Ge 0.617 0.617 0.000


Q: Which of them is the most stable? A: arrangement 3.


Arrangement 1

Below is a relaxed structure of K2TlGe, with properties calculated at the PBE-GGA level.

Cell lengths 12.513, 12.513, 12.513 Å; angles 157.69, 157.69, 31.75 degrees
Fractional coordinates of all 8 atoms:
K 0.116 0.625 0.991
K 0.375 0.366 0.491
K 0.634 0.125 0.009
K 0.875 0.884 0.509
Tl 0.250 0.750 0.500
Tl 0.500 0.500 0.000
Ge 0.000 0.000 0.000
Ge 0.750 0.250 0.500


Arrangement 2

Below is a relaxed structure of K2TlGe, with properties calculated at the PBE-GGA level.

Cell lengths 5.805, 5.805, 5.805 Å; angles 60.00, 60.00, 60.00 degrees
Fractional coordinates of all 4 atoms:
K 0.250 0.250 0.250
K 0.750 0.750 0.750
Tl 0.000 0.000 0.000
Ge 0.500 0.500 0.500


Q: Which of them is the most stable? A: arrangement 2.


Arrangement 1

Below is a relaxed structure of KV3Ge, with properties calculated at the PBE-GGA level.

Cell lengths 4.290, 4.290, 4.290 Å; angles 90.00, 90.00, 90.00 degrees
Fractional coordinates of all 5 atoms:
K 0.000 0.000 0.000
V 0.000 0.000 0.500
V 0.000 0.500 0.000
V 0.500 0.000 0.000
Ge 0.500 0.500 0.500


Arrangement 2

Below is a relaxed structure of KV3Ge, with properties calculated at the PBE-GGA level.

Cell lengths 5.008, 5.008, 5.008 Å; angles 90.00, 90.00, 90.00 degrees
Fractional coordinates of all 5 atoms:
K 0.000 0.000 0.000
V 0.000 0.500 0.500
V 0.500 0.000 0.500
V 0.500 0.500 0.000
Ge 0.500 0.500 0.500


Q: Which of them is the most stable? A: arrangement 2.


Arrangement 1

Below is a relaxed structure of KVGe3, with properties calculated at the PBE-GGA level.

Cell lengths 4.839, 4.839, 4.839 Å; angles 90.00, 90.00, 90.00 degrees
Fractional coordinates of all 5 atoms:
K 0.000 0.000 0.000
V 0.500 0.500 0.500
Ge 0.000 0.500 0.500
Ge 0.500 0.000 0.500
Ge 0.500 0.500 0.000


Arrangement 2

Below is a relaxed structure of KVGe3, with properties calculated at the PBE-GGA level.

Cell lengths 5.296, 5.296, 5.296 Å; angles 90.00, 90.00, 90.00 degrees
Fractional coordinates of all 5 atoms:
K 0.000 0.000 0.000
V 0.500 0.500 0.500
Ge 0.000 0.000 0.500
Ge 0.000 0.500 0.000
Ge 0.500 0.000 0.000


Q: Which of them is the most stable? A: arrangement 1.


Arrangement 1

Below is a relaxed structure of KGe3W, with properties calculated at the PBE-GGA level.

Cell lengths 5.020, 5.020, 5.020 Å; angles 90.00, 90.00, 90.00 degrees
Fractional coordinates of all 5 atoms:
K 0.000 0.000 0.000
Ge 0.000 0.000 0.500
Ge 0.000 0.500 0.000
Ge 0.500 0.000 0.000
W 0.500 0.500 0.500


Arrangement 2

Below is a relaxed structure of KGe3W, with properties calculated at the PBE-GGA level.

Cell lengths 4.985, 4.985, 4.985 Å; angles 90.00, 90.00, 90.00 degrees
Fractional coordinates of all 5 atoms:
K 0.000 0.000 0.000
Ge 0.000 0.500 0.500
Ge 0.500 0.000 0.500
Ge 0.500 0.500 0.000
W 0.500 0.500 0.500


Q: Which of them is the most stable? A: arrangement 2.


Arrangement 1

Below is a relaxed structure of KGe2W, with properties calculated at the PBE-GGA level.

Cell lengths 8.665, 8.665, 8.665 Å; angles 138.92, 138.92, 59.50 degrees
Fractional coordinates of all 8 atoms:
K 0.375 0.625 0.750
K 0.625 0.375 0.250
Ge 0.000 0.000 0.000
Ge 0.000 0.000 0.500
Ge 0.000 0.500 0.000
Ge 0.500 0.000 0.500
W 0.125 0.875 0.250
W 0.875 0.125 0.750


Arrangement 2

Below is a relaxed structure of KGe2W, with properties calculated at the PBE-GGA level.

Cell lengths 4.818, 4.818, 4.818 Å; angles 60.00, 60.00, 60.00 degrees
Fractional coordinates of all 4 atoms:
K 0.000 0.000 0.000
Ge 0.250 0.250 0.250
Ge 0.750 0.750 0.750
W 0.500 0.500 0.500


Q: Which of them is the most stable? A: arrangement 1.


Arrangement 1

Below is a relaxed structure of K2YGe2, with properties calculated at the PBE-GGA level.

Cell lengths 8.085, 8.085, 8.085 Å; angles 148.88, 148.88, 44.59 degrees
Fractional coordinates of all 5 atoms:
K 0.250 0.750 0.500
K 0.750 0.250 0.500
Y 0.000 0.000 0.000
Ge 0.418 0.418 0.000
Ge 0.582 0.582 0.000


Arrangement 2

Below is a relaxed structure of K2YGe2, with properties calculated at the PBE-GGA level.

Cell lengths 7.523, 7.523, 5.771 Å; angles 90.00, 90.00, 90.00 degrees
Fractional coordinates of all 10 atoms:
K 0.172 0.328 0.000
K 0.328 0.828 0.000
K 0.672 0.172 0.000
K 0.828 0.672 0.000
Y 0.000 0.000 0.500
Y 0.500 0.500 0.500
Ge 0.116 0.616 0.500
Ge 0.384 0.116 0.500
Ge 0.616 0.884 0.500
Ge 0.884 0.384 0.500


Q: Which of them is the most stable? A: arrangement 1.


Arrangement 1

Below is a relaxed structure of KYGe, with properties calculated at the PBE-GGA level.

Cell lengths 5.186, 5.186, 5.186 Å; angles 60.00, 60.00, 60.00 degrees
Fractional coordinates of all 3 atoms:
K 0.000 0.000 0.000
Y 0.500 0.500 0.500
Ge 0.750 0.750 0.750


Arrangement 2

Below is a relaxed structure of KYGe, with properties calculated at the PBE-GGA level.

Cell lengths 4.104, 4.104, 13.707 Å; angles 81.76, 81.48, 90.00 degrees
Fractional coordinates of all 6 atoms:
K 0.000 0.000 0.000
K 0.343 0.331 0.309
Y 0.125 0.622 0.746
Y 0.716 0.209 0.563
Ge 0.235 0.728 0.522
Ge 0.605 0.103 0.786


Arrangement 3

Below is a relaxed structure of KYGe, with properties calculated at the PBE-GGA level.

Cell lengths 4.092, 6.757, 4.095 Å; angles 90.00, 90.00, 90.00 degrees
Fractional coordinates of all 3 atoms:
K 0.000 0.000 0.000
Y 0.500 0.500 0.503
Ge 0.000 0.500 0.003


Q: Which of them is the most stable? A: arrangement 2.